# Cs2SiPb2 SCAN single point on PBEsol structure
data_Cs2SiPb2
_space_group_name_H-M_alt 'I 4/m m m'
_space_group_IT_number 139
_space_group_name_Hall '-I 4 2'
_cell_length_a 4.299
_cell_length_b 4.299
_cell_length_c 23.313
_cell_angle_alpha 90.00
_cell_angle_beta 90.00
_cell_angle_gamma 90.00
loop_
_atom_site_label
_atom_site_type_symbol
_atom_site_fract_x
_atom_site_fract_y
_atom_site_fract_z
Cs1 Cs 0.000 0.000 0.094
Si1 Si 0.000 0.000 0.500
Pb1 Pb 0.000 0.500 0.250
# E_tot = -47.148 eV per atom
# Calculated volume = 43.1 Å³ per atom